No. 1
! Sc2CuBr (meta-GGA SCAN, single point on PBEsol structure); values from VASP
&SYSTEM
  ibrav = 0, nat = 4, ntyp = 3
/
ATOMIC_SPECIES
Br 79.90 Br.upf
Cu 63.55 Cu.upf
Sc 44.96 Sc.upf
CELL_PARAMETERS angstrom
3.2160 0.0000 0.0000
0.0000 3.2160 0.0000
0.0000 0.0000 7.3592
ATOMIC_POSITIONS crystal
Br 0.5000 0.5000 0.0000
Cu 0.5000 0.5000 0.5000
Sc 0.0000 0.0000 0.7175
Sc 0.0000 0.0000 0.2825
! Magnetic moment in μB/cell: 0.86
! ρ in g cm⁻³: 5.09
! Formation energy without anion corrections in eV/atom: -0.47

No. 2
! ScCu2Br (meta-GGA SCAN, single point on PBEsol structure); values from VASP
&SYSTEM
  ibrav = 0, nat = 4, ntyp = 3
/
ATOMIC_SPECIES
Br 79.90 Br.upf
Cu 63.55 Cu.upf
Sc 44.96 Sc.upf
CELL_PARAMETERS angstrom
-1.1502 -0.1572 3.3477
-2.4920 -2.3264 -0.9654
3.4052 -4.0540 0.9796
ATOMIC_POSITIONS crystal
Br 0.5000 0.5000 0.5000
Cu 0.0000 0.0000 0.7765
Cu 0.0000 0.0000 0.2235
Sc 0.5000 0.5000 0.0000
! Magnetic moment in μB/cell: 0.00
! ρ in g cm⁻³: 6.19
! Formation energy without anion corrections in eV/atom: -0.03

No. 3
! ScCuSeBr2 (meta-GGA SCAN, single point on PBEsol structure); values from VASP
&SYSTEM
  ibrav = 0, nat = 5, ntyp = 4
/
ATOMIC_SPECIES
Sc 44.96 Sc.upf
Cu 63.55 Cu.upf
Se 78.96 Se.upf
Br 79.90 Br.upf
CELL_PARAMETERS angstrom
4.7587 0.0000 0.0000
0.0000 4.7587 0.0000
0.0000 0.0000 4.9946
ATOMIC_POSITIONS crystal
Sc 0.5000 0.5000 0.5000
Cu 0.0000 0.0000 0.0000
Se 0.0000 0.0000 0.5000
Br 0.0000 0.5000 0.0000
Br 0.5000 0.0000 0.0000
! Magnetic moment in μB/cell: 0.65
! ρ in g cm⁻³: 5.10
! Formation energy without anion corrections in eV/atom: -0.36

No. 4
! CuSe2Br (meta-GGA SCAN, single point on PBEsol structure); values from VASP
&SYSTEM
  ibrav = 0, nat = 4, ntyp = 3
/
ATOMIC_SPECIES
Br 79.90 Br.upf
Cu 63.55 Cu.upf
Se 78.96 Se.upf
CELL_PARAMETERS angstrom
-0.9657 -2.3903 2.3184
3.0849 2.1166 0.8748
-4.5257 5.1716 3.4469
ATOMIC_POSITIONS crystal
Br 0.0000 0.0000 0.5476
Cu 0.5000 0.0000 0.7572
Se 0.0000 0.0000 0.9790
Se 0.5000 0.0000 0.2162
! Magnetic moment in μB/cell: 0.00
! ρ in g cm⁻³: 5.48
! Offset from the most stable computed form in meV/atom: 379
! Formation energy without anion corrections in eV/atom: 0.15

No. 5
! CuSe2Br (meta-GGA SCAN, single point on PBEsol structure); values from VASP
&SYSTEM
  ibrav = 0, nat = 16, ntyp = 3
/
ATOMIC_SPECIES
Cu 63.55 Cu.upf
Se 78.96 Se.upf
Br 79.90 Br.upf
CELL_PARAMETERS angstrom
4.7502 0.0000 0.0000
0.0000 7.7789 0.0478
0.0000 -2.8165 10.6610
ATOMIC_POSITIONS crystal
Cu 0.3653 0.0637 0.2490
Cu 0.8653 0.4363 0.2510
Cu 0.6347 0.9363 0.7510
Cu 0.1347 0.5637 0.7490
Se 0.9757 0.1454 0.8458
Se 0.4757 0.3546 0.6542
Se 0.0243 0.8546 0.1542
Se 0.5243 0.6454 0.3458
Se 0.2084 0.5779 0.1580
Se 0.7084 0.9221 0.3420
Se 0.7916 0.4221 0.8420
Se 0.2916 0.0779 0.6580
Br 0.3828 0.7982 0.8924
Br 0.8828 0.7018 0.6076
Br 0.6172 0.2018 0.1076
Br 0.1172 0.2982 0.3924
! Magnetic moment in μB/cell: 0.00
! ρ in g cm⁻³: 5.07
! Offset from the most stable computed form in meV/atom: 0
! Formation energy without anion corrections in eV/atom: -0.23

No. 6
! CuSe2Br (meta-GGA SCAN, single point on PBEsol structure); values from VASP
&SYSTEM
  ibrav = 0, nat = 4, ntyp = 3
/
ATOMIC_SPECIES
Br 79.90 Br.upf
Cu 63.55 Cu.upf
Se 78.96 Se.upf
CELL_PARAMETERS angstrom
3.1047 0.0000 0.0000
0.0000 3.4688 0.0000
0.0000 0.0000 7.5323
ATOMIC_POSITIONS crystal
Br 0.5000 0.5000 0.5000
Cu 0.5000 0.5000 0.0000
Se 0.0000 0.0000 0.1630
Se 0.0000 0.0000 0.8370
! Magnetic moment in μB/cell: 0.00
! ρ in g cm⁻³: 6.17
! Offset from the most stable computed form in meV/atom: 462
! Formation energy without anion corrections in eV/atom: 0.23